Here is a relaxed structure of Li17Co8O18 from Alexandria via LeMat-Bulk. Energies are from PBE with a Hubbard U.

Values from the calculation:
Magnetization: 0.11 μB/atom
Final energy: -5.23 eV/atom

Cell: 7.6205 7.6656 9.8151 Å, 92.37 104.19 118.41°
Closest atoms and distances in Å follow each position.
Element x y z (fractional)
Li 0.8998 0.7091 0.8669  3 O 1.98-2.07
Li 0.7718 0.4634 0.6302  5 O 2.07-2.17
Li 0.5245 0.6204 0.8984  4 O 1.92-2.09
Li 0.2017 0.1522 0.8725  4 O 1.98-2.03
Li 0.9433 0.1452 0.3275  4 O 1.94-2.02
Li 0.5085 0.9344 0.3810  3 O 1.98-2.00
Li 0.5942 0.3401 0.8474  4 O 1.94-2.10
Li 0.0487 0.8648 0.6568  4 O 1.94-2.07
Li 0.4970 0.0739 0.6193  4 O 1.93-2.13
Li 0.2659 0.5589 0.3782  4 O 2.03-2.14
Li 0.8259 0.3792 0.4040  3 O 1.92-1.98
Li 0.8076 0.8575 0.1281  4 O 1.99-2.11
Li 0.4697 0.3672 0.1077  3 O 1.96-2.07
Li 0.6163 0.0587 0.1233  4 O 1.90-2.10
Li 0.3833 0.6330 0.1479  4 O 1.96-2.12
Li 0.3477 0.8968 0.8789  3 O 1.93-2.02
Li 0.1576 0.6279 0.5950  4 O 2.04-2.05
O 0.9005 0.6478 0.4918  1 Co 1.80, 2 Li 1.94-1.95
O 0.0823 0.6607 0.7768  1 Co 1.86, 4 Li 1.94-2.07
O 0.3155 0.1198 0.7122  1 Co 1.83, 4 Li 1.96-2.04
O 0.1135 0.3637 0.4984  1 Co 1.77, 1 Li 1.98
O 0.2100 0.7195 0.2148  2 Co 1.82-1.91, 1 Li 1.96
O 0.6715 0.8856 0.2704  1 Co 1.87, 3 Li 1.98-2.00
O 0.7546 0.5852 0.0197  1 Co 1.80, 1 Li 2.00
O 0.4374 0.4775 0.2901  2 Co 1.88-1.97, 3 Li 1.97-2.07
O 0.4262 0.8004 0.5423  1 Co 1.77, 1 Li 1.96
O 0.7794 0.2722 0.7844  2 Co 1.82-1.90, 1 Li 1.94
O 0.2969 0.4373 0.9632  1 Co 1.78, 2 Li 1.92-1.96
O 0.9081 0.9397 0.7736  2 Co 1.89-1.90, 3 Li 1.98-2.01
O 0.8457 0.3171 0.2187  1 Co 1.74, 2 Li 1.90-1.92
O 0.6233 0.9064 0.9614  1 Co 1.77, 2 Li 1.96
O 0.5773 0.2095 0.4647  1 Co 1.77, 2 Li 1.93-1.98
O 0.1041 0.0514 0.2532  2 Co 1.86-1.87, 2 Li 1.94-2.03
O 0.3657 0.0823 0.0287  1 Co 1.79, 4 Li 1.93-2.00
O 0.5744 0.5316 0.7142  2 Co 1.88-1.97, 2 Li 2.04-2.09
Co 0.9333 0.5341 0.1440  3 O 1.74-1.82
Co 0.2216 0.9544 0.1472  3 O 1.79-1.91
Co 0.0741 0.4454 0.8613  3 O 1.78-1.90
Co 0.3694 0.2448 0.3726  3 O 1.77-1.88
Co 0.2917 0.3062 0.6112  3 O 1.77-1.97
Co 0.7726 0.0525 0.8535  3 O 1.77-1.90
Co 0.6318 0.7759 0.6520  3 O 1.77-1.89
Co 0.7243 0.7075 0.3736  3 O 1.80-1.97